# 1
This record from the Alexandria database describes an optimized crystal structure of Ac6Nd8Mg. The functional is GGA-PBE.

Unit cell a=8.873 b=8.873 c=10.658 alpha=65.40 beta=65.40 gamma=60.00
Atoms (fractional coordinates):
Ac1 0.849 0.674 0.160
Ac2 0.326 0.683 0.840
Ac3 0.317 0.849 0.160
Ac4 0.674 0.317 0.160
Ac5 0.683 0.151 0.840
Ac6 0.151 0.326 0.840
Nd1 0.591 0.053 0.576
Nd2 0.287 0.287 0.140
Nd3 0.947 0.220 0.424
Nd4 0.220 0.409 0.424
Nd5 0.713 0.713 0.860
Nd6 0.409 0.947 0.424
Nd7 0.053 0.780 0.576
Nd8 0.780 0.591 0.576
Mg1 0.000 0.000 0.000

Summary:
As for the density: 6.6 g/cm³. The formation energy comes out at 336 meV per atom. The crystal system is trigonal. The density of states at the Fermi level comes out at 1.498 states/eV per atom. The calculated total energy comes out at -59.3 eV for the cell shown.

---

# 2
This record from the Alexandria database describes an optimized crystal structure of Ac4NdMg. The functional is GGA-PBE.

Unit cell a=7.182 b=7.182 c=7.182 alpha=60.00 beta=60.00 gamma=60.00
Atoms (fractional coordinates):
Mg1 0.000 0.000 0.000
Ac1 0.125 0.625 0.625
Ac2 0.625 0.625 0.625
Ac3 0.625 0.125 0.625
Ac4 0.625 0.625 0.125
Nd1 0.250 0.250 0.250

Summary:
As for the density: 6.8 g/cm³. The formation energy comes out at 374 meV per atom. The crystal system is cubic. The density of states at the Fermi level comes out at 1.372 states/eV per atom. Its energy above the most stable polymorph in this dataset is 384 meV per atom. The calculated total energy comes out at -20.6 eV for the cell shown.

---

# 3
This record from the Alexandria database describes an optimized crystal structure of Ac4NdMg2. The functional is GGA-PBE.

Unit cell a=7.163 b=7.163 c=7.163 alpha=105.58 beta=111.45 gamma=111.45
Atoms (fractional coordinates):
Ac1 0.000 0.000 0.500
Ac2 0.000 0.500 0.000
Ac3 0.500 0.500 0.500
Ac4 0.500 0.000 0.000
Mg1 0.500 0.000 0.500
Mg2 0.500 0.500 0.000
Nd1 0.000 0.000 0.000

Summary:
As for the density: 6.5 g/cm³. The formation energy comes out at 132 meV per atom. The crystal system is tetragonal. The density of states at the Fermi level comes out at 1.352 states/eV per atom. The calculated total energy comes out at -23.5 eV for the cell shown.

---

# 4
This record from the Alexandria database describes an optimized crystal structure of Ac2Nd3Mg2. The functional is GGA-PBE.

Unit cell a=3.885 b=3.844 c=16.786 alpha=90.00 beta=96.65 gamma=90.00
Each line ends with the local moment (μB).
Atoms (fractional coordinates):
Mg1 0.131 0.000 0.263  0.00
Mg2 0.869 0.000 0.737  0.00
Ac1 0.699 0.500 0.399  0.06
Ac2 0.301 0.500 0.601  0.06
Nd1 0.427 0.500 0.854  0.00
Nd2 0.573 0.500 0.146  0.00
Nd3 0.000 0.000 0.000  0.00

Summary:
As for the density: 6.2 g/cm³. The formation energy comes out at 32 meV per atom. The crystal system is orthorhombic. The density of states at the Fermi level comes out at 1.383 states/eV per atom. The calculated total energy comes out at -25.5 eV for the cell shown.

---

# 5
This record from the Alexandria database describes an optimized crystal structure of AcNdMg10. The functional is GGA-PBE.

Unit cell a=4.981 b=6.092 c=10.514 alpha=90.00 beta=90.00 gamma=90.00
Atoms (fractional coordinates):
Mg1 0.500 0.500 0.000
Mg2 0.000 0.000 0.674
Mg3 0.500 0.752 0.245
Mg4 0.000 0.500 0.161
Mg5 0.500 0.248 0.245
Mg6 0.500 0.248 0.755
Mg7 0.500 0.752 0.755
Mg8 0.000 0.500 0.839
Mg9 0.000 0.000 0.326
Mg10 0.500 0.000 0.500
Ac1 0.000 0.500 0.500
Nd1 0.000 0.000 0.000

Summary:
As for the density: 3.2 g/cm³. The formation energy comes out at -54 meV per atom. The crystal system is orthorhombic. The density of states at the Fermi level comes out at 0.623 states/eV per atom. The calculated total energy comes out at -25.5 eV for the cell shown.

---

# 6
This record from the Alexandria database describes an optimized crystal structure of AcNdMg2. The functional is GGA-PBE.

Unit cell a=3.999 b=3.999 c=8.037 alpha=90.00 beta=90.00 gamma=90.00
Atoms (fractional coordinates):
Mg1 0.000 0.000 0.227
Mg2 0.000 0.000 0.773
Ac1 0.500 0.500 0.500
Nd1 0.500 0.500 0.000

Summary:
As for the density: 5.4 g/cm³. The formation energy comes out at -90 meV per atom. The crystal system is tetragonal. The density of states at the Fermi level comes out at 1.275 states/eV per atom. The calculated total energy comes out at -12.4 eV for the cell shown.